Arrangement one

## RbYV2 (GGA-PBE)

Data for crystalline RbYV2 at its relaxed geometry.

Computed properties:
Magnetic moment   8.8 μB per formula unit
SG   Fm-3m (225)

Lattice parameters (Å, degrees): 7.7703 7.7703 7.7703 90.00 90.00 90.00
Atoms (fractional coordinates):
Rb 0.0000 0.0000 0.0000
Rb 0.0000 0.5000 0.5000
Rb 0.5000 0.0000 0.5000
Rb 0.5000 0.5000 0.0000
Y 0.0000 0.0000 0.5000
Y 0.0000 0.5000 0.0000
Y 0.5000 0.0000 0.0000
Y 0.5000 0.5000 0.5000
V 0.2500 0.2500 0.2500
V 0.2500 0.2500 0.7500
V 0.2500 0.7500 0.2500
V 0.2500 0.7500 0.7500
V 0.7500 0.2500 0.2500
V 0.7500 0.2500 0.7500
V 0.7500 0.7500 0.2500
V 0.7500 0.7500 0.7500

=====

Arrangement two

## RbYV2 (GGA-PBE)

Data for crystalline RbYV2 at its relaxed geometry.

Computed properties:
Magnetic moment   0.0 μB per formula unit
SG   I-42d (122)

Lattice parameters (Å, degrees): 4.6395 4.6395 21.7016 90.00 90.00 90.00
Atoms (fractional coordinates):
Rb 0.0000 0.0000 0.0000
Rb 0.0000 0.5000 0.2500
Rb 0.5000 0.0000 0.7500
Rb 0.5000 0.5000 0.5000
Y 0.0000 0.0000 0.5000
Y 0.0000 0.5000 0.7500
Y 0.5000 0.0000 0.2500
Y 0.5000 0.5000 0.0000
V 0.0194 0.2500 0.6250
V 0.2500 0.5194 0.8750
V 0.2500 0.9806 0.3750
V 0.4806 0.2500 0.1250
V 0.5194 0.7500 0.1250
V 0.7500 0.0194 0.3750
V 0.7500 0.4806 0.8750
V 0.9806 0.7500 0.6250

=====

It turns out arrangement one is the most stable, with the second structure 224 meV per atom higher.